Compound: SrBeZn4
Source: the Alexandria database
Functional: PBE
Structure: optimized geometry

Calculated values
Symmetry = F-43m (216)
Energy relative to the elements = 1.1 eV per formula unit

Lattice parameters (Å, degrees): 5.390 5.390 5.390 60.00 60.00 60.00
Element x y z (fractional)
Sr 0.000 0.000 0.000
Be 0.250 0.250 0.250
Zn 0.128 0.624 0.624
Zn 0.624 0.128 0.624
Zn 0.624 0.624 0.128
Zn 0.624 0.624 0.624